A relaxed Ni2PF crystal. Source: the Alexandria database, functional PBE with a Hubbard U.

* total magnetic moment: 0.501 μB/atom
* E: -26.28 eV per cell
* density of states at the Fermi level: 0.20 states/eV per atom

Unit cell a=5.6925 b=5.6925 c=5.3262 alpha=57.70 beta=57.70 gamma=90.00
With the nearest neighbours (Å) after each atom.
Element x y z (fractional)
Ni 0.6067 0.1250 0.2500  2 F 2.13, 2 P 2.26
Ni 0.3750 0.3933 0.7500  2 F 2.13, 2 P 2.26
Ni 0.1433 0.6250 0.2500  2 F 2.13, 2 P 2.26
Ni 0.8750 0.8567 0.7500  2 F 2.13, 2 P 2.26
F 0.2500 0.7500 0.5000  4 Ni 2.13
F 0.5000 0.5000 0.0000  4 Ni 2.13
P 0.0000 0.0000 0.0000  4 Ni 2.26
P 0.7500 0.2500 0.5000  4 Ni 2.26